[1]
{"formula": "PuCdP2", "functional": "PBE", "state": "relaxed", "lattice": [[-3.098, -2.077, -2.010], [0.932, -3.288, -2.504], [-1.393, -6.386, 4.282]], "species": ["P", "P", "Cd", "Pu"], "fractional_positions": [[0.891, 0.891, 0.327], [0.109, 0.109, 0.673], [0.000, 0.000, 0.000], [0.500, 0.500, 0.500]], "ef_ev_per_fu": -1.08, "volume_a3_per_cell": 115.4, "relative_energy_ev_per_atom": 0.188, "n_ef_per_ev_cell": 10.62}

[2]
{"formula": "NaOsSCl2", "functional": "PBE", "state": "relaxed", "lattice": [[-0.531, 0.032, -5.082], [-5.082, -0.040, 0.530], [-0.031, 4.392, 0.031]], "species": ["S", "Cl", "Cl", "Os", "Na"], "fractional_positions": [[0.000, 0.000, 0.500], [0.000, 0.500, 0.000], [0.500, 0.000, 0.000], [0.000, 0.000, 0.000], [0.500, 0.500, 0.500]], "formation_energy_uncorrected_ev_per_atom": -0.339, "volume_a3_per_cell": 114.7, "relative_energy_ev_per_atom": 0.000, "n_ef_per_ev_cell": 3.99}

[3]
{"formula": "AcHg5Au2", "functional": "PBE", "state": "relaxed", "lattice": [[4.398, 0.000, 0.000], [2.199, 6.874, 0.071], [2.199, 1.332, 6.744]], "species": ["Hg", "Hg", "Hg", "Hg", "Hg", "Au", "Au", "Ac"], "fractional_positions": [[0.355, 0.833, 0.458], [0.645, 0.542, 0.167], [0.355, 0.458, 0.833], [0.000, 0.500, 0.500], [0.645, 0.167, 0.542], [0.279, 0.221, 0.221], [0.721, 0.779, 0.779], [0.000, 0.000, 0.000]], "ef_ev_per_fu": -1.98, "volume_a3_per_cell": 203.4, "n_ef_per_ev_cell": 2.59}

[4]
{"formula": "MnInCo2", "functional": "PBE", "state": "relaxed", "lattice": [[2.882, 0.000, 0.000], [0.000, 3.421, 0.000], [0.000, 0.000, 5.727]], "species": ["In", "Mn", "Co", "Co"], "fractional_positions": [[0.000, 0.000, 0.490], [0.500, 0.500, 0.792], [0.500, 0.500, 0.211], [0.000, 0.000, 0.007]], "ef_ev_per_fu": 0.71, "volume_a3_per_cell": 56.5, "n_ef_per_ev_cell": 3.85}